18
Lattice="-4.4089 -3.3347 -1.8002 2.3907 -4.9410 3.2978 -3.4216 1.7606 5.1183" Properties=species:S:1:pos:R:3 comment="PBE Ho2MgPtO5, relaxed" total_energy_ev_per_atom=-6.913 raw_formation_energy_kj_per_mol_fu=-1991 m_tot_mub_per_fu=0.000 pbc="T T T"
Ho -1.1875 -4.6881 2.2048
Ho -2.9096 -1.9465 1.3441
Ho -2.5301 -4.5686 5.2718
Ho -4.2523 -1.8270 4.4110
Mg -0.5155 -1.5902 4.2081
Mg 0.0000 0.0000 0.0000
Pt -1.7108 0.8803 2.5592
Pt 1.1953 -2.4705 1.6489
O -2.7199 -3.2576 3.3079
O -2.2044 -1.6674 -0.9001
O -2.9926 -0.4407 3.3296
O -0.3000 -4.4504 4.1630
O -0.7865 -2.3447 1.4537
O -2.5061 -2.5465 6.0389
O -5.1397 -2.0647 2.4529
O -4.6533 -4.1705 5.1622
O -2.4472 -6.0745 3.2862
O -2.9336 -3.9687 0.5769